Material: KZr2Be
Method: DFT, GGA-PBEsol
State: optimized geometry

```
data_KZr2Be
_chemical_formula_sum 'K1 Zr2 Be1'
_space_group_name_H-M_alt 'P 1'
_space_group_IT_number 1
_cell_length_a 3.225
_cell_length_b 3.225
_cell_length_c 10.709
_cell_angle_alpha 81.34
_cell_angle_beta 81.34
_cell_angle_gamma 60.00
loop_
_space_group_symop_operation_xyz
'x,y,z'
loop_
_atom_site_label
_atom_site_type_symbol
_atom_site_fract_x
_atom_site_fract_y
_atom_site_fract_z
_atom_site_occupancy
Zr1 Zr 0.758 0.758 0.726 1
Zr2 Zr 0.015 0.015 0.955 1
Be1 Be 0.487 0.487 0.539 1
K1 K 0.240 0.240 0.280 1
```

Values from the calculation:
**Calculated density**: 4.03 Mg/m³

Material: K2ZrBe
Method: DFT, GGA-PBEsol
State: optimized geometry

```
data_K2ZrBe
_chemical_formula_sum 'K2 Zr1 Be1'
_space_group_name_H-M_alt 'P 1'
_space_group_IT_number 1
_cell_length_a 3.179
_cell_length_b 3.875
_cell_length_c 11.435
_cell_angle_alpha 94.56
_cell_angle_beta 90.00
_cell_angle_gamma 114.22
loop_
_space_group_symop_operation_xyz
'x,y,z'
loop_
_atom_site_label
_atom_site_type_symbol
_atom_site_fract_x
_atom_site_fract_y
_atom_site_fract_z
_atom_site_occupancy
K1 K 0.238 0.476 0.709 1
K2 K 0.024 0.048 0.080 1
Be1 Be 0.767 0.535 0.292 1
Zr1 Zr 0.470 0.941 0.419 1
```

Values from the calculation:
**Calculated density**: 2.31 Mg/m³

Results for D(E_F): 4.2; 4.1 (in states/eV per cell, following the order of the records).
Results for energy of formation from the pure elements: 0.63; 0.79 (in eV per atom, following the order of the records).
Results for E: -20.80; -12.21 (in eV/f.u., following the order of the records).